Entry from the Alexandria database: Rb2NaAs2Pt after structural relaxation (PBE).

Unit cell a=6.7677 b=6.9312 c=9.1622 alpha=112.23 beta=111.67 gamma=90.00
With the nearest neighbours (Å) after each atom.
Sites, in units of the cell vectors:
Rb  0.4018  0.1725  0.3450  4 As 3.42-3.80, 2 Na 3.55, 2 Pt 3.68
Rb  0.5982  0.8275  0.6550  4 As 3.42-3.80, 2 Na 3.55, 2 Pt 3.68
Rb  0.0567  0.3275  0.6550  4 As 3.42-3.80, 2 Na 3.55, 2 Pt 3.68
Rb  0.9433  0.6725  0.3450  4 As 3.42-3.80, 2 Na 3.55, 2 Pt 3.68
Na  0.0000  0.7500  0.0000  4 As 3.01
Na  0.0000  0.2500  0.0000  4 As 3.01
As  0.7739  0.0834  0.1669  2 Pt 2.52
As  0.3930  0.5834  0.1669  2 Pt 2.52
As  0.6070  0.4166  0.8331  2 Pt 2.52
As  0.2261  0.9166  0.8331  2 Pt 2.52
Pt  0.5000  0.7500  0.0000  4 As 2.52
Pt  0.5000  0.2500  0.0000  4 As 2.52



Entry from the Alexandria database: NaAsPtRh after structural relaxation (PBE).

Unit cell a=3.8702 b=3.8702 c=10.6504 alpha=90.00 beta=90.00 gamma=90.00
With the nearest neighbours (Å) after each atom.
Sites, in units of the cell vectors:
Na  0.7500  0.7500  0.2854  4 Pt 2.99, 4 As 3.15
Na  0.2500  0.2500  0.7146  4 Pt 2.99, 4 As 3.15
As  0.7500  0.7500  0.8608  4 Rh 2.44
As  0.2500  0.2500  0.1392  4 Rh 2.44
Pt  0.2500  0.7500  0.5000  4 Pt 2.74, 4 Na 2.99
Pt  0.7500  0.2500  0.5000  4 Pt 2.74, 4 Na 2.99
Rh  0.7500  0.2500  0.0000  4 As 2.44
Rh  0.2500  0.7500  0.0000  4 As 2.44



Entry from the Alexandria database: NaAsRuPt2 after structural relaxation (PBE).

Values from the calculation:
excess energy over the best structure of this formula in the dataset = 1.3954 eV/atom

Unit cell a=4.5661 b=4.5796 c=4.5661 alpha=90.00 beta=90.00 gamma=90.00
With the nearest neighbours (Å) after each atom.
Sites, in units of the cell vectors:
Ru  0.5000  0.5000  0.5000  4 As 3.23, 8 Pt 3.23
As  0.0000  0.5000  0.0000  2 Na 2.29
Pt  0.0000  0.0000  0.5000  2 Na 2.28
Pt  0.5000  0.0000  0.0000  2 Na 2.28
Na  0.0000  0.0000  0.0000  4 Pt 2.28, 2 As 2.29



Entry from the Alexandria database: NaAsRuPt2 after structural relaxation (PBE).

Values from the calculation:
excess energy over the best structure of this formula in the dataset = 0.0000 eV/atom

Unit cell a=4.7163 b=4.5807 c=4.7163 alpha=90.00 beta=90.00 gamma=90.00
With the nearest neighbours (Å) after each atom.
Sites, in units of the cell vectors:
Ru  0.0000  0.5000  0.0000  2 As 2.29
As  0.0000  0.0000  0.0000  2 Ru 2.29, 4 Pt 2.36
Pt  0.0000  0.0000  0.5000  2 As 2.36
Pt  0.5000  0.0000  0.0000  2 As 2.36
Na  0.5000  0.5000  0.5000  8 Pt 3.29, 4 Ru 3.33



Entry from the Alexandria database: NaAs2PtSe after structural relaxation (PBE).

Values from the calculation:
formation energy (no corrections) = 122 kJ per mole of atoms
excess energy over the best structure of this formula in the dataset = 1.1467 eV/atom

Unit cell a=4.8875 b=4.8875 c=4.8685 alpha=90.00 beta=90.00 gamma=90.00
With the nearest neighbours (Å) after each atom.
Sites, in units of the cell vectors:
Na  0.0000  0.0000  0.0000  2 Se 2.43, 4 As 2.44
As  0.0000  0.5000  0.0000  2 Na 2.44
As  0.5000  0.0000  0.0000  2 Na 2.44
Se  0.0000  0.0000  0.5000  2 Na 2.43
Pt  0.5000  0.5000  0.5000  8 As 3.45, 4 Se 3.46



Entry from the Alexandria database: NaAs2PtSe after structural relaxation (PBE).

Values from the calculation:
formation energy (no corrections) = 12 kJ per mole of atoms
excess energy over the best structure of this formula in the dataset = 0.0000 eV/atom

Unit cell a=4.8416 b=4.8416 c=5.5423 alpha=90.00 beta=90.00 gamma=90.00
With the nearest neighbours (Å) after each atom.
Sites, in units of the cell vectors:
Na  0.5000  0.5000  0.5000  4 Se 3.42, 8 As 3.68
As  0.0000  0.5000  0.0000  2 Pt 2.42
As  0.5000  0.0000  0.0000  2 Pt 2.42
Se  0.0000  0.0000  0.5000  2 Pt 2.77
Pt  0.0000  0.0000  0.0000  4 As 2.42



Entry from the Alexandria database: Na2SiAsPt6 after structural relaxation (PBE).

Values from the calculation:
formation energy (no corrections) = -28 kJ per mole of atoms

Unit cell a=5.5736 b=7.9547 c=6.6159 alpha=54.17 beta=65.09 gamma=90.00
With the nearest neighbours (Å) after each atom.
Sites, in units of the cell vectors:
Na  0.7481  0.3019  0.5037  6 Pt 3.06-3.37
Na  0.2519  0.6981  0.4963  6 Pt 3.06-3.37
Si  0.0000  0.0000  0.0000  6 Pt 2.39-2.41
As  0.5000  0.5000  0.0000  6 Pt 2.48-2.49
Pt  0.2464  0.1404  0.5071  1 Si 2.39, 1 As 2.49
Pt  0.7820  0.7837  0.9397  1 Si 2.41, 1 As 2.48, 1 Pt 2.68
Pt  0.2786  0.7839  0.9395  1 Si 2.41, 1 As 2.48, 1 Pt 2.68
Pt  0.7214  0.2160  0.0605  1 Si 2.41, 1 As 2.48, 1 Pt 2.68
Pt  0.2180  0.2163  0.0603  1 Si 2.41, 1 As 2.48, 1 Pt 2.68
Pt  0.7536  0.8596  0.4929  1 Si 2.39, 1 As 2.49



Entry from the Alexandria database: Na2SmAs3Pt4 after structural relaxation (PBE).

Unit cell a=4.3307 b=4.3307 c=11.1348 alpha=90.00 beta=90.00 gamma=90.00
With the nearest neighbours (Å) after each atom.
Sites, in units of the cell vectors:
Na  0.5000  0.0000  0.2229  4 As 3.26, 8 Pt 3.29-3.32
Na  0.0000  0.5000  0.7771  4 As 3.26, 8 Pt 3.29-3.32
Sm  0.5000  0.5000  0.5000  4 Pt 2.82, 4 As 3.06
As  0.0000  0.0000  0.5000  4 Pt 2.82, 4 Sm 3.06
As  0.5000  0.0000  0.8783  5 Pt 2.41-2.55
As  0.0000  0.5000  0.1217  5 Pt 2.41-2.55
Pt  0.5000  0.5000  0.0000  4 As 2.55
Pt  0.0000  0.0000  0.0000  4 As 2.55
Pt  0.5000  0.0000  0.6622  1 As 2.41
Pt  0.0000  0.5000  0.3378  1 As 2.41



Entry from the Alexandria database: NaSr2As4Pt3 after structural relaxation (PBE).

Unit cell a=4.5110 b=4.5110 c=10.4994 alpha=90.00 beta=90.00 gamma=90.00
With the nearest neighbours (Å) after each atom.
Sites, in units of the cell vectors:
Na  0.5000  0.5000  0.5000  4 As 2.73
Sr  0.5000  0.0000  0.2465  8 As 3.38-3.43, 6 Pt 3.48-3.49, 2 Na 3.49
Sr  0.0000  0.5000  0.7535  8 As 3.38-3.43, 6 Pt 3.48-3.49, 2 Na 3.49
As  0.5000  0.5000  0.0000  4 Pt 2.56
As  0.0000  0.0000  0.0000  4 Pt 2.56
As  0.5000  0.0000  0.6468  3 Pt 2.50-2.73, 2 Na 2.73
As  0.0000  0.5000  0.3532  3 Pt 2.50-2.73, 2 Na 2.73
Pt  0.0000  0.0000  0.5000  4 As 2.73
Pt  0.5000  0.0000  0.8854  5 As 2.50-2.56
Pt  0.0000  0.5000  0.1146  5 As 2.50-2.56



Entry from the Alexandria database: NaTeAs2Pt after structural relaxation (PBE).

Values from the calculation:
formation energy (no corrections) = 11 kJ per mole of atoms

Unit cell a=4.8680 b=5.8607 c=4.8680 alpha=90.00 beta=90.00 gamma=90.00
With the nearest neighbours (Å) after each atom.
Sites, in units of the cell vectors:
Na  0.5000  0.5000  0.5000  4 Te 3.44, 8 As 3.81
As  0.0000  0.0000  0.5000  2 Pt 2.43
As  0.5000  0.0000  0.0000  2 Pt 2.43
Te  0.0000  0.5000  0.0000  2 Pt 2.93
Pt  0.0000  0.0000  0.0000  4 As 2.43



Entry from the Alexandria database: NaThAs2Pt4 after structural relaxation (PBE).

Unit cell a=4.0525 b=4.0525 c=10.5220 alpha=90.00 beta=90.00 gamma=90.00
With the nearest neighbours (Å) after each atom.
Sites, in units of the cell vectors:
Na  0.0000  0.0000  0.5000  8 As 3.27
Th  0.0000  0.0000  0.0000  8 Pt 2.97
As  0.5000  0.5000  0.3505  4 Pt 2.53
As  0.5000  0.5000  0.6495  4 Pt 2.53
Pt  0.0000  0.5000  0.2067  2 As 2.53
Pt  0.5000  0.0000  0.7933  2 As 2.53
Pt  0.5000  0.0000  0.2067  2 As 2.53
Pt  0.0000  0.5000  0.7933  2 As 2.53



Entry from the Alexandria database: Na2UAs2Pt after structural relaxation (PBE).

Unit cell a=4.3078 b=7.0609 c=8.4954 alpha=90.00 beta=90.00 gamma=90.00
With the nearest neighbours (Å) after each atom.
Sites, in units of the cell vectors:
Na  0.5000  0.0243  0.0776  3 As 2.99-3.05, 4 Na 3.13-3.25
Na  0.0000  0.3582  0.1509  4 As 2.86-2.95, 2 Na 3.13
Na  0.5000  0.5243  0.9224  3 As 2.99-3.05, 4 Na 3.13-3.25
Na  0.0000  0.8582  0.8491  4 As 2.86-2.95, 2 Na 3.13
U  0.0000  0.9903  0.4621  5 As 2.85-3.01, 2 Pt 2.96
U  0.0000  0.4903  0.5379  5 As 2.85-3.01, 2 Pt 2.96
As  0.0000  0.2618  0.8141  2 Pt 2.63, 1 U 2.85, 2 Na 2.86-2.94
As  0.5000  0.2656  0.3750  2 Pt 2.60-2.70
As  0.0000  0.7618  0.1859  2 Pt 2.63, 1 U 2.85, 2 Na 2.86-2.94
As  0.5000  0.7656  0.6250  2 Pt 2.60-2.70
Pt  0.5000  0.1454  0.6641  4 As 2.60-2.70
Pt  0.5000  0.6454  0.3359  4 As 2.60-2.70



| no. | total DFT energy (no corrections) (eV/atom) |
| --- | --- |
| 1 | -3.45 |
| 2 | -5.13 |
| 3 | -3.71 |
| 4 | -5.10 |
| 5 | -2.76 |
| 6 | -3.91 |
| 7 | -5.19 |
| 8 | -5.09 |
| 9 | -4.88 |
| 10 | -3.85 |
| 11 | -5.91 |
| 12 | -5.41 |